Entry 1:
{"formula": "Co2Rh", "functional": "meta-GGA SCAN", "state": "PBEsol geometry", "final_energy_ev_per_cell": -136.50, "spacegroup": "Cm (8)", "lattice_angstrom": [[-1.921, -1.628, -0.537], [2.105, 0.946, -4.230], [3.233, -4.552, 2.234]], "species": ["Rh", "Rh", "Co", "Co", "Co", "Co"], "frac_coords": [[0.052, 0.103, 0.603], [0.724, 0.449, 0.949], [0.000, 0.999, 0.010], [0.389, 0.778, 0.277], [0.670, 0.340, 0.333], [0.332, 0.665, 0.662]]}

=====

Entry 2:
{"formula": "Co2Rh3", "functional": "meta-GGA SCAN", "state": "PBEsol geometry", "de_polymorph_mev_per_atom": 115, "spacegroup": "R-3m (166)", "lattice_angstrom": [[-3.265, 2.519, -0.684], [-3.636, -0.720, 1.932], [-1.083, 3.049, 3.620]], "species": ["Co", "Co", "Rh", "Rh", "Rh"], "frac_coords": [[0.804, 0.804, 0.587], [0.196, 0.196, 0.413], [0.000, 0.000, 0.000], [0.398, 0.398, 0.805], [0.602, 0.602, 0.195]]}

=====

Entry 3:
{"formula": "Co2Rh", "functional": "meta-GGA SCAN", "state": "PBEsol geometry", "final_energy_ev_per_cell": -68.31, "spacegroup": "P6/mmm (191)", "lattice_angstrom": [[2.543, 0.000, 0.000], [0.000, 3.996, 0.000], [0.000, -1.998, 3.461]], "species": ["Rh", "Co", "Co"], "frac_coords": [[0.500, 0.000, 0.000], [0.000, 0.667, 0.333], [0.000, 0.333, 0.667]]}

=====

Entry 4:
{"formula": "Co2Rh3", "functional": "meta-GGA SCAN", "state": "PBEsol geometry", "de_polymorph_mev_per_atom": 23, "spacegroup": "Immm (71)", "lattice_angstrom": [[2.605, 0.000, 0.000], [0.000, 4.173, 0.000], [-1.302, -2.087, 5.764]], "species": ["Co", "Co", "Rh", "Rh", "Rh"], "frac_coords": [[0.596, 0.596, 0.193], [0.404, 0.404, 0.807], [0.000, 0.000, 0.000], [0.291, 0.791, 0.582], [0.709, 0.209, 0.418]]}

=====

Entry 5:
{"formula": "Co3Rh", "functional": "meta-GGA SCAN", "state": "PBEsol geometry", "final_energy_ev_per_cell": -85.48, "spacegroup": "Pmm2 (25)", "lattice_angstrom": [[2.559, 0.000, 0.000], [0.000, 4.050, 0.000], [0.000, 0.000, 4.357]], "species": ["Rh", "Co", "Co", "Co"], "frac_coords": [[0.000, 0.500, 0.336], [0.000, 0.000, 0.988], [0.500, 0.000, 0.507], [0.500, 0.500, 0.835]]}

=====

Entry 6:
{"formula": "Co7Rh", "functional": "meta-GGA SCAN", "state": "PBEsol geometry", "final_energy_ev_per_cell": -154.72, "spacegroup": "Fm-3m (225)", "lattice_angstrom": [[4.965, 0.000, 0.000], [2.483, 4.300, 0.000], [2.483, 1.433, 4.054]], "species": ["Co", "Co", "Co", "Co", "Co", "Co", "Co", "Rh"], "frac_coords": [[0.500, 0.000, 0.000], [0.500, 0.500, 0.000], [0.000, 0.500, 0.000], [0.500, 0.000, 0.500], [0.000, 0.000, 0.500], [0.000, 0.500, 0.500], [0.500, 0.500, 0.500], [0.000, 0.000, 0.000]]}

=====

Entry 7:
{"formula": "Co2Rh3", "functional": "meta-GGA SCAN", "state": "PBEsol geometry", "de_polymorph_mev_per_atom": 99, "spacegroup": "Fmmm (69)", "lattice_angstrom": [[-0.694, 1.926, -1.588], [-0.631, -2.424, -0.663], [-8.678, 1.238, 6.407]], "species": ["Co", "Co", "Rh", "Rh", "Rh"], "frac_coords": [[0.599, 0.599, 0.197], [0.401, 0.401, 0.803], [0.000, 0.000, 0.000], [0.804, 0.804, 0.607], [0.196, 0.196, 0.393]]}

=====

Entry 8:
{"formula": "Co3Rh2", "functional": "meta-GGA SCAN", "state": "PBEsol geometry", "de_polymorph_mev_per_atom": 5, "spacegroup": "Cmmm (65)", "lattice_angstrom": [[-1.725, 1.632, -0.946], [-2.026, -0.207, 3.336], [4.137, 4.670, 0.513]], "species": ["Rh", "Rh", "Co", "Co", "Co"], "frac_coords": [[0.000, 0.890, 0.781], [0.000, 0.110, 0.219], [0.500, 0.701, 0.401], [0.500, 0.299, 0.599], [0.500, 0.500, 0.000]]}

=====

Across the entries above, size of the total moment takes the values 8.92; 7.08; 4.68; 6.19; 6.24; 13.86; 5.40; 7.39 μB/cell, respectively.